(1)
Computed, not measured: crystalline Ho2ThCo2 at its relaxed geometry at the PBE level of DFT.

a = 6.089 Å, b = 6.089 Å, c = 7.119 Å
α = 99.33°, β = 99.33°, γ = 59.26°
Element x y z (fractional)
Ho 0.051 0.262 0.153
Ho 0.262 0.051 0.653
Ho 0.738 0.949 0.347
Ho 0.949 0.738 0.847
Th 0.412 0.588 0.250
Th 0.588 0.412 0.750
Co 0.188 0.500 0.491
Co 0.500 0.188 0.991
Co 0.500 0.812 0.009
Co 0.812 0.500 0.509

* space-group type: C2/c, No. 15
* calculated formation energy: -1.34 eV/f.u.
* theoretical density: 10.1 g/cm³



(2)
Computed, not measured: crystalline Ho6TlCo2 at its relaxed geometry at the PBE level of DFT.

a = 8.346 Å, b = 8.346 Å, c = 8.346 Å
α = 111.56°, β = 109.92°, γ = 106.97°
Element x y z (fractional)
Ho 0.018 0.230 0.787
Ho 0.187 0.289 0.476
Ho 0.187 0.711 0.898
Ho 0.315 0.012 0.696
Ho 0.315 0.619 0.304
Ho 0.443 0.230 0.213
Ho 0.557 0.770 0.787
Ho 0.685 0.381 0.696
Ho 0.685 0.988 0.304
Ho 0.813 0.289 0.102
Ho 0.813 0.711 0.524
Ho 0.982 0.770 0.213
Tl 0.000 0.000 0.000
Tl 0.500 0.500 0.000
Co 0.112 0.612 0.500
Co 0.380 0.000 0.380
Co 0.620 0.000 0.620
Co 0.888 0.388 0.500

* space-group type: Immm, No. 71
* theoretical density: 9.8 g/cm³



It is found that the uncorrected energy values, taken in the order of the records, are -64.2, -92.6 eV per cell.